A plane-wave DFT calculation with GGA-PBE was carried out for an optimized crystal structure of KBa2BiS4.

Computed properties:
Total magnetic moment (μB per formula unit): 0.00
E_form (uncorrected) (eV per atom): -1.350
Space group: Imma (74)

a b c (Å): 8.7886 8.7886 8.7886
angles (deg): 120.07 119.17 90.66
With the nearest neighbours (Å) after each atom.
Fractional coordinates of all 16 atoms:
K1 0.0000 0.0000 0.0000  6 S 3.09-3.15
K2 0.5000 0.0000 0.5000  6 S 3.09-3.15
Ba1 0.0000 0.5000 0.5000  6 S 3.10-3.11
Ba2 0.5000 0.0000 0.0000  6 S 3.27
Ba3 0.5000 0.5000 0.0000  6 S 3.10-3.11
Ba4 0.5000 0.5000 0.5000  6 S 3.27
Bi1 0.0000 0.0000 0.5000  6 S 2.91-2.99
Bi2 0.0000 0.5000 0.0000  6 S 2.91-2.99
S1 0.2275 0.2493 0.9782  2 Bi 2.99, 1 K 3.09, 3 Ba 3.10-3.27
S2 0.2289 0.7507 0.4782  2 Bi 2.99, 1 K 3.09, 3 Ba 3.10-3.27
S3 0.2352 0.2388 0.5036  1 Bi 2.91, 2 Ba 3.11, 2 K 3.15
S4 0.2352 0.7316 0.9964  1 Bi 2.91, 2 Ba 3.11, 2 K 3.15
S5 0.7648 0.2684 0.0036  1 Bi 2.91, 2 Ba 3.11, 2 K 3.15
S6 0.7648 0.7612 0.4964  1 Bi 2.91, 2 Ba 3.11, 2 K 3.15
S7 0.7711 0.2493 0.5218  2 Bi 2.99, 1 K 3.09, 3 Ba 3.10-3.27
S8 0.7725 0.7507 0.0218  2 Bi 2.99, 1 K 3.09, 3 Ba 3.10-3.27